[1]
SiIrI2: optimized geometry, PBE-GGA.

DOS(E_F) in states/eV/atom: 0.759
ΔE_f (raw) in eV/f.u.: 4.53
Relative energy among the computed polymorphs in kcal/mol of atoms: 4.19

Lattice parameters (Å, degrees): 5.010 5.010 5.010 60.00 60.00 60.00
Sites, in units of the cell vectors:
1 Si 0.000 0.000 0.000
2 Ir 0.500 0.500 0.500
3 I 0.250 0.250 0.250
4 I 0.750 0.750 0.750


[2]
Tb2Pr2O5: optimized geometry, PBE-GGA.

DOS(E_F) in states/eV/atom: 0.274
ΔE_f (raw) in eV/f.u.: -24.25

Lattice parameters (Å, degrees): 4.408 4.408 7.832 90.00 90.00 90.00
Sites, in units of the cell vectors:
1 Tb 0.000 0.000 0.230
2 Tb 0.000 0.000 0.770
3 Pr 0.500 0.500 0.000
4 Pr 0.500 0.500 0.500
5 O 0.000 0.000 0.500
6 O 0.000 0.500 0.235
7 O 0.000 0.500 0.765
8 O 0.500 0.000 0.235
9 O 0.500 0.000 0.765


[3]
Sr4CaMn: optimized geometry, PBE-GGA.

DOS(E_F) in states/eV/atom: 1.214
ΔE_f in eV per atom: 0.61

Lattice parameters (Å, degrees): 7.436 7.436 7.436 60.00 60.00 60.00
Sites, in units of the cell vectors:
1 Sr 0.125 0.125 0.125
2 Sr 0.125 0.125 0.624
3 Sr 0.125 0.624 0.125
4 Sr 0.624 0.125 0.125
5 Ca 0.750 0.750 0.750
6 Mn 0.500 0.500 0.500


[4]
SrY2ScPt: optimized geometry, PBE-GGA.

DOS(E_F) in states/eV/atom: 0.912
ΔE_f in eV per atom: 0.21
Relative energy among the computed polymorphs in kcal/mol of atoms: 13.60

Lattice parameters (Å, degrees): 5.657 5.657 4.912 90.00 90.00 90.00
Sites, in units of the cell vectors:
1 Sr 0.000 0.000 0.000
2 Y 0.000 0.500 0.500
3 Y 0.500 0.000 0.500
4 Sc 0.500 0.500 0.500
5 Pt 0.500 0.500 0.000


| no. | V (Å³/f.u.) |
| --- | --- |
| 1 | 89 |
| 2 | 152 |
| 3 | 291 |
| 4 | 157 |